(1)
Compound: Sr2PuSb4Pd3
Source: Alexandria
Functional: PBE
Structure: optimized geometry

Cell lengths 4.6226, 4.6226, 12.2934 Å; angles 90.00, 90.00, 90.00 degrees
Each line ends with the local moment (μB).
Sites, in units of the cell vectors:
Sr  0.5000  0.0000  0.2321  0.00
Pd  0.5000  0.0000  0.8787  -0.02
Sb  0.0000  0.5000  0.3413  -0.05
Sb  0.5000  0.5000  0.0000  0.00
Pd  0.0000  0.0000  0.5000  -0.07
Sb  0.5000  0.0000  0.6587  -0.05
Sb  0.0000  0.0000  0.0000  -0.01
Pu  0.5000  0.5000  0.5000  5.22
Pd  0.0000  0.5000  0.1213  -0.02
Sr  0.0000  0.5000  0.7679  0.00

ΔE_f (raw) = -691 meV per atom
Space-group type = P-4m2 (115)

(2)
Compound: Pu2ThSb2Pd2
Source: Alexandria
Functional: PBE
Structure: optimized geometry

Cell lengths 4.6974, 4.6974, 9.1342 Å; angles 75.10, 75.10, 60.00 degrees
Each line ends with the local moment (μB).
Sites, in units of the cell vectors:
Sb  0.7348  0.7348  0.7957  -0.02
Th  0.0000  0.0000  0.0000  0.15
Pu  0.8584  0.8584  0.4249  5.41
Pd  0.5665  0.5665  0.3004  -0.01
Sb  0.2652  0.2652  0.2043  -0.02
Pd  0.4335  0.4335  0.6996  -0.01
Pu  0.1416  0.1416  0.5751  5.41

ΔE_f (raw) = -635 meV per atom
Space-group type = R-3m (166)